No. 1
This record from Alexandria describes PtW2Br after structural relaxation. The functional is PBE.

Cell lengths 3.372, 3.374, 6.907 Å; angles 90.00, 90.00, 90.00 degrees
Sites, in units of the cell vectors:
W  0.000  0.000  0.573
W  0.000  0.000  0.927
Pt  0.500  0.500  0.750
Br  0.500  0.500  0.250

Properties
SG = P4/mmm (123)
Energy above the lowest structure with this stoichiometry = 0.372 eV/atom
Calculated density = 13.6 g cm⁻³
Raw formation energy = 75 kJ/mol of atoms

No. 2
This record from Alexandria describes Tb4Cd2GaHg after structural relaxation. The functional is PBE.

Cell lengths 5.247, 5.247, 9.088 Å; angles 73.22, 73.22, 60.00 degrees
Sites, in units of the cell vectors:
Tb  0.622  0.622  0.133
Tb  0.872  0.872  0.383
Tb  0.128  0.128  0.617
Tb  0.378  0.378  0.867
Cd  0.251  0.251  0.246
Cd  0.749  0.749  0.754
Hg  0.000  0.000  0.000
Ga  0.500  0.500  0.500

Properties
Energy relative to the elements = -0.4186 eV per atom
SG = R-3m (166)
Calculated density = 9.2 g cm⁻³

No. 3
This record from Alexandria describes Li2CdSi after structural relaxation. The functional is PBE.

Cell lengths 4.878, 4.878, 5.116 Å; angles 84.07, 84.07, 33.64 degrees
Sites, in units of the cell vectors:
Li  0.239  0.239  0.267
Li  0.006  0.006  0.997
Cd  0.754  0.754  0.760
Si  0.501  0.501  0.476

Properties
SG = Cm (8)
Calculated density = 3.8 g cm⁻³
Raw formation energy = -10 kJ/mol of atoms

No. 4
This record from Alexandria describes Pm3Al2Pt6 after structural relaxation. The functional is PBE.

Cell lengths 8.323, 8.323, 8.323 Å; angles 109.47, 109.47, 109.47 degrees
Sites, in units of the cell vectors:
Pt  0.000  0.679  0.321
Pt  0.321  0.000  0.679
Pt  0.642  0.321  0.321
Pt  0.679  0.321  0.000
Pt  0.679  0.679  0.358
Pt  0.358  0.679  0.679
Pt  0.321  0.679  0.000
Pt  0.679  0.000  0.321
Pt  0.321  0.642  0.321
Pt  0.321  0.321  0.642
Pt  0.000  0.321  0.679
Pt  0.679  0.358  0.679
Al  0.500  0.000  0.000
Al  0.500  0.500  0.500
Al  0.000  0.000  0.500
Al  0.000  0.500  0.000
Pm  0.297  0.297  0.000
Pm  0.703  0.000  0.703
Pm  0.297  0.000  0.297
Pm  0.000  0.703  0.703
Pm  0.000  0.297  0.297
Pm  0.703  0.703  0.000

Properties
Energy relative to the elements = -1.0934 eV per atom
SG = Im-3m (229)
Calculated density = 12.4 g cm⁻³

No. 5
This record from Alexandria describes YRu2W after structural relaxation. The functional is PBE.

Cell lengths 3.020, 4.238, 5.757 Å; angles 90.00, 90.00, 90.00 degrees
Sites, in units of the cell vectors:
Y  0.500  0.500  0.790
W  0.000  0.000  0.408
Ru  0.000  0.000  0.001
Ru  0.500  0.500  0.301

Properties
Energy relative to the elements = 0.2956 eV per atom
SG = Pmm2 (25)
Energy above the lowest structure with this stoichiometry = 0.379 eV/atom
Calculated density = 10.7 g cm⁻³

No. 6
This record from Alexandria describes BaInSn3 after structural relaxation. The functional is PBE.

Cell lengths 6.739, 6.740, 7.538 Å; angles 90.00, 90.00, 72.68 degrees
Sites, in units of the cell vectors:
Sn  0.543  0.220  0.302
Sn  0.018  0.746  0.802
Sn  0.543  0.220  0.802
Sn  0.387  0.590  0.052
Sn  0.018  0.746  0.302
Sn  0.173  0.376  0.552
In  0.907  0.109  0.552
In  0.654  0.856  0.052
Ba  0.037  0.239  0.052
Ba  0.524  0.726  0.552

Properties
Energy relative to the elements = -0.3409 eV per atom
SG = Cmcm (63)
Energy above the lowest structure with this stoichiometry = 0.000 eV/atom
Calculated density = 6.2 g cm⁻³

No. 7
This record from Alexandria describes CsZrSiBi2 after structural relaxation. The functional is PBE.

Cell lengths 5.792, 5.167, 5.792 Å; angles 90.00, 90.00, 90.00 degrees
Site moments in Bohr magnetons follow the coordinates.
Sites, in units of the cell vectors:
Si  0.000  0.000  0.000  0.00
Bi  0.500  0.000  0.000  -0.08
Bi  0.000  0.000  0.500  -0.06
Cs  0.500  0.500  0.500  0.01
Zr  0.000  0.500  0.000  0.58

Properties
SG = P4/mmm (123)
Calculated density = 6.4 g cm⁻³
Raw formation energy = 39 kJ/mol of atoms

No. 8
This record from Alexandria describes LiDyHgPb after structural relaxation. The functional is PBE.

Cell lengths 5.160, 5.160, 5.160 Å; angles 60.00, 60.00, 60.00 degrees
Sites, in units of the cell vectors:
Li  0.000  0.000  0.000
Dy  0.500  0.500  0.500
Hg  0.750  0.750  0.750
Pb  0.250  0.250  0.250

Properties
Energy relative to the elements = -0.4393 eV per atom
SG = F-43m (216)
Calculated density = 9.9 g cm⁻³